No. 1
Tb3SnRh3, relaxed, DFT PBE; electronic total energy = -6.345 eV per atom; calculated formation energy = -0.6384 eV/atom
1.0
8.568 0.000 0.000
-4.284 7.420 0.000
0.000 0.000 4.805
Tb Sn Rh
6 2 6
direct
0.086 0.409 0.250
0.323 0.914 0.250
0.409 0.323 0.750
0.591 0.677 0.250
0.677 0.086 0.750
0.914 0.591 0.750
0.333 0.667 0.750
0.667 0.333 0.250
0.044 0.208 0.750
0.164 0.956 0.750
0.208 0.164 0.250
0.792 0.836 0.750
0.836 0.044 0.250
0.956 0.792 0.250


No. 2
TbSn8Rh2, relaxed, DFT PBE; electronic total energy = -4.954 eV per atom; calculated formation energy = -0.2855 eV/atom
1.0
4.240 -6.514 0.000
4.240 6.514 0.000
-0.622 0.000 4.886
Tb Sn Rh
1 8 2
direct
0.000 0.000 0.000
0.060 0.333 0.600
0.251 0.749 0.000
0.333 0.060 0.600
0.387 0.387 0.204
0.613 0.613 0.796
0.667 0.940 0.400
0.749 0.251 0.000
0.940 0.667 0.400
0.326 0.674 0.500
0.674 0.326 0.500


No. 3
TbSn3Rh3, relaxed, DFT PBE; electronic total energy = -5.518 eV per atom; calculated formation energy = 0.0099 eV/atom
1.0
7.145 0.000 0.000
0.000 7.145 0.000
0.000 0.000 7.145
Tb Sn Rh
2 6 6
direct
0.000 0.000 0.000
0.500 0.500 0.500
0.000 0.250 0.500
0.000 0.750 0.500
0.250 0.500 0.000
0.500 0.000 0.250
0.500 0.000 0.750
0.750 0.500 0.000
0.000 0.500 0.250
0.000 0.500 0.750
0.250 0.000 0.500
0.500 0.250 0.000
0.500 0.750 0.000
0.750 0.000 0.500


No. 4
Tb4Sn8Rh, relaxed, DFT PBE; electronic total energy = -5.063 eV per atom; calculated formation energy = -0.6092 eV/atom
1.0
4.422 0.000 0.000
0.000 4.465 0.000
0.000 0.000 16.892
Tb Sn Rh
4 8 1
direct
0.000 0.000 0.000
0.000 0.500 0.486
0.500 0.000 0.786
0.500 0.500 0.292
0.000 0.000 0.324
0.000 0.000 0.623
0.000 0.500 0.145
0.000 0.500 0.856
0.500 0.000 0.148
0.500 0.000 0.447
0.500 0.500 0.622
0.500 0.500 0.972
0.000 0.500 0.705


No. 5
TbSn3Rh4, relaxed, DFT PBE; electronic total energy = -6.334 eV per atom; calculated formation energy = -0.5788 eV/atom
1.0
2.315 1.337 7.820
-2.315 1.337 7.820
0.000 -2.673 7.820
Tb Sn Rh
1 3 4
direct
0.000 0.000 0.000
0.254 0.254 0.254
0.500 0.500 0.500
0.746 0.746 0.746
0.130 0.130 0.130
0.389 0.389 0.389
0.611 0.611 0.611
0.870 0.870 0.870


No. 6
Tb3Sn3Rh, relaxed, DFT PBE; electronic total energy = -5.542 eV per atom; calculated formation energy = -0.7922 eV/atom
1.0
5.579 -2.252 0.000
5.579 2.252 0.000
-4.903 0.000 14.147
Tb Sn Rh
6 6 2
direct
0.021 0.021 0.380
0.099 0.099 0.922
0.237 0.237 0.240
0.763 0.763 0.760
0.901 0.901 0.078
0.979 0.979 0.620
0.353 0.353 0.465
0.373 0.373 0.923
0.479 0.479 0.766
0.521 0.521 0.234
0.627 0.627 0.077
0.647 0.647 0.535
0.256 0.256 0.616
0.744 0.744 0.384


No. 7
Tb2SnRh2, relaxed, DFT PBE; electronic total energy = -6.443 eV per atom; calculated formation energy = -0.8493 eV/atom
1.0
-2.215 2.937 4.158
2.215 -2.937 4.158
2.215 2.937 -4.158
Tb Sn Rh
2 1 2
direct
0.205 0.205 0.000
0.795 0.795 0.000
0.500 0.000 0.500
0.227 0.500 0.727
0.773 0.500 0.273


No. 8
TbSnRh2, relaxed, DFT PBE; electronic total energy = -6.495 eV per atom; calculated formation energy = -0.6612 eV/atom
1.0
3.440 0.000 0.000
0.000 3.440 0.000
0.000 0.000 6.345
Tb Sn Rh
1 1 2
direct
0.000 0.000 0.000
0.000 0.000 0.500
0.500 0.500 0.270
0.500 0.500 0.730


No. 9
Tb3SnRh8, relaxed, DFT PBE; electronic total energy = -7.011 eV per atom; calculated formation energy = -0.6184 eV/atom
1.0
2.657 1.534 8.737
-2.657 1.534 8.737
0.000 -3.068 8.737
Tb Sn Rh
3 1 8
direct
0.000 0.000 0.000
0.128 0.128 0.128
0.620 0.620 0.620
0.497 0.497 0.497
0.061 0.061 0.562
0.061 0.562 0.061
0.063 0.561 0.561
0.312 0.312 0.312
0.561 0.063 0.561
0.561 0.561 0.063
0.562 0.061 0.061
0.812 0.812 0.812


No. 10
Tb4SnRh, relaxed, DFT PBE; electronic total energy = -5.558 eV per atom; calculated formation energy = -0.5788 eV/atom
1.0
4.471 -6.746 0.000
4.471 6.746 0.000
-2.478 0.000 5.530
Tb Sn Rh
8 2 2
direct
0.059 0.714 0.930
0.215 0.358 0.664
0.286 0.941 0.570
0.358 0.215 0.164
0.642 0.785 0.836
0.714 0.059 0.430
0.785 0.642 0.336
0.941 0.286 0.070
0.373 0.627 0.250
0.627 0.373 0.750
0.000 0.000 0.250
0.000 0.000 0.750


No. 11
TbSn5Rh3, relaxed, DFT PBE; electronic total energy = -5.586 eV per atom; calculated formation energy = -0.3969 eV/atom
1.0
5.777 -4.583 0.000
5.777 4.583 0.000
-4.980 0.000 8.509
Tb Sn Rh
2 10 6
direct
0.095 0.095 0.302
0.905 0.905 0.698
0.059 0.616 0.345
0.244 0.244 0.042
0.298 0.702 0.000
0.384 0.941 0.655
0.417 0.417 0.647
0.583 0.583 0.353
0.616 0.059 0.345
0.702 0.298 0.000
0.756 0.756 0.958
0.941 0.384 0.655
0.000 0.000 0.000
0.000 0.000 0.500
0.307 0.307 0.824
0.356 0.356 0.349
0.644 0.644 0.651
0.693 0.693 0.176


No. 12
Tb5Sn18Rh6, relaxed, DFT PBE; electronic total energy = -5.352 eV per atom; calculated formation energy = -0.5482 eV/atom
1.0
0.000 7.007 7.007
7.007 0.000 7.007
7.007 7.007 0.000
Tb Sn Rh
5 18 6
direct
0.000 0.000 0.000
0.109 0.630 0.630
0.630 0.109 0.630
0.630 0.630 0.109
0.630 0.630 0.630
0.011 0.011 0.339
0.011 0.011 0.640
0.011 0.339 0.011
0.011 0.339 0.640
0.011 0.640 0.011
0.011 0.640 0.339
0.250 0.250 0.250
0.339 0.011 0.011
0.339 0.011 0.640
0.339 0.640 0.011
0.413 0.413 0.413
0.413 0.413 0.760
0.413 0.760 0.413
0.640 0.011 0.011
0.640 0.011 0.339
0.640 0.339 0.011
0.750 0.750 0.750
0.760 0.413 0.413
0.255 0.255 0.745
0.255 0.745 0.255
0.255 0.745 0.745
0.745 0.255 0.255
0.745 0.255 0.745
0.745 0.745 0.255


No. 13
Tb3Sn2Rh, relaxed, DFT PBE; electronic total energy = -5.679 eV per atom; calculated formation energy = -0.8043 eV/atom
1.0
12.401 0.000 0.000
0.000 4.385 0.000
0.000 0.000 11.665
Tb Sn Rh
12 8 4
direct
0.052 0.250 0.130
0.122 0.750 0.546
0.240 0.250 0.790
0.260 0.750 0.290
0.378 0.250 0.046
0.448 0.750 0.630
0.552 0.250 0.370
0.622 0.750 0.954
0.740 0.250 0.710
0.760 0.750 0.210
0.878 0.250 0.454
0.948 0.750 0.870
0.002 0.250 0.691
0.187 0.750 0.000
0.313 0.250 0.500
0.498 0.750 0.191
0.502 0.250 0.809
0.687 0.750 0.500
0.813 0.250 0.000
0.998 0.750 0.309
0.128 0.250 0.369
0.372 0.750 0.869
0.628 0.250 0.131
0.872 0.750 0.631


No. 14
TbSnRh2, relaxed, DFT PBE; electronic total energy = -6.589 eV per atom; calculated formation energy = -0.7551 eV/atom
1.0
4.569 0.000 0.000
0.000 4.569 0.000
0.000 0.000 3.553
Tb Sn Rh
1 1 2
direct
0.000 0.000 0.000
0.500 0.500 0.000
0.000 0.500 0.500
0.500 0.000 0.500


No. 15
Tb3SnRh, relaxed, DFT PBE; electronic total energy = -5.700 eV per atom; calculated formation energy = -0.6511 eV/atom
1.0
5.690 0.000 0.000
0.000 6.667 0.000
-1.723 0.000 7.009
Tb Sn Rh
6 2 2
direct
0.140 0.250 0.117
0.318 0.011 0.694
0.318 0.489 0.694
0.682 0.511 0.306
0.682 0.989 0.306
0.860 0.750 0.883
0.181 0.750 0.313
0.819 0.250 0.687
0.386 0.750 0.993
0.614 0.250 0.007


No. 16
TbTmSnRh, relaxed, DFT PBE; electronic total energy = -5.776 eV per atom; calculated formation energy = -0.6623 eV/atom
1.0
0.000 3.590 3.590
3.590 0.000 3.590
3.590 3.590 0.000
Tb Tm Sn Rh
1 1 1 1
direct
0.000 0.000 0.000
0.500 0.500 0.500
0.750 0.750 0.750
0.250 0.250 0.250


No. 17
Tb2TmSn2Rh5, relaxed, DFT PBE; electronic total energy = -6.521 eV per atom; calculated formation energy = -0.6716 eV/atom
1.0
10.225 0.000 0.000
0.000 10.225 0.000
0.000 0.000 3.796
Tb Tm Sn Rh
4 2 4 10
direct
0.171 0.329 0.000
0.329 0.829 0.000
0.671 0.171 0.000
0.829 0.671 0.000
0.000 0.000 0.000
0.500 0.500 0.000
0.127 0.627 0.000
0.373 0.127 0.000
0.627 0.873 0.000
0.873 0.373 0.000
0.000 0.500 0.500
0.064 0.795 0.500
0.205 0.064 0.500
0.295 0.564 0.500
0.436 0.295 0.500
0.500 0.000 0.500
0.564 0.705 0.500
0.705 0.436 0.500
0.795 0.936 0.500
0.936 0.205 0.500


No. 18
TbTm2SnRh4, relaxed, DFT PBE; electronic total energy = -6.726 eV per atom; calculated formation energy = -0.8534 eV/atom
1.0
2.372 1.369 7.762
-2.372 1.369 7.762
0.000 -2.739 7.762
Tb Tm Sn Rh
1 2 1 4
direct
0.000 0.000 0.000
0.246 0.246 0.246
0.754 0.754 0.754
0.500 0.500 0.500
0.125 0.125 0.125
0.377 0.377 0.377
0.623 0.623 0.623
0.875 0.875 0.875


No. 19
TbYSnRh, relaxed, DFT PBE; electronic total energy = -6.273 eV per atom; calculated formation energy = -0.6607 eV/atom
1.0
0.000 3.618 3.618
3.618 0.000 3.618
3.618 3.618 0.000
Tb Y Sn Rh
1 1 1 1
direct
0.000 0.000 0.000
0.500 0.500 0.500
0.750 0.750 0.750
0.250 0.250 0.250


No. 20
TbZnSnRh, relaxed, DFT PBE; electronic total energy = -4.846 eV per atom; calculated formation energy = -0.5311 eV/atom
1.0
0.000 3.376 3.376
3.376 0.000 3.376
3.376 3.376 0.000
Tb Zn Sn Rh
1 1 1 1
direct
0.000 0.000 0.000
0.250 0.250 0.250
0.500 0.500 0.500
0.750 0.750 0.750


No. 21
Tc2Sn4Rh, relaxed, DFT PBE; electronic total energy = -5.793 eV per atom; calculated formation energy = 0.5062 eV/atom
1.0
-2.548 2.548 6.576
2.548 -2.548 6.576
2.548 2.548 -6.576
Tc Sn Rh
2 4 1
direct
0.096 0.096 0.000
0.904 0.904 0.000
0.000 0.500 0.500
0.299 0.299 0.000
0.500 0.000 0.500
0.701 0.701 0.000
0.500 0.500 0.000